1.
DFT (PBE-GGA) results for a relaxed HgAu2Br crystal. Values from VASP.

Quantum ESPRESSO input file:
```
&SYSTEM
  ibrav = 0, nat = 4, ntyp = 3
/
ATOMIC_SPECIES
Hg 200.59 Hg.upf
Au 196.97 Au.upf
Br 79.90 Br.upf
CELL_PARAMETERS angstrom
1.7918 -3.2890 0.0000
1.7918 3.2890 0.0000
0.0000 0.0000 8.6155
ATOMIC_POSITIONS crystal
Hg 0.0000 0.0000 0.0000
Au 0.0000 0.0000 0.5198
Au 0.5000 0.5000 0.7515
Br 0.5000 0.5000 0.2836
```

Results
For the total moment, the calculation gives 0.000 μB per atom. Its density is 11.0 g/cm3. The uncorrected formation energy comes out at 0.1503 eV/atom. The calculation puts the energy above the most stable polymorph in this dataset at 0.133 eV/atom.

2.
DFT (PBE-GGA) results for a relaxed Ce4SnAu7 crystal. Values from VASP.

Quantum ESPRESSO input file:
```
&SYSTEM
  ibrav = 0, nat = 12, ntyp = 3
/
ATOMIC_SPECIES
Ce 140.12 Ce.upf
Sn 118.71 Sn.upf
Au 196.97 Au.upf
CELL_PARAMETERS angstrom
7.3808 -2.5801 0.0000
7.3808 2.5801 0.0000
-4.7739 0.0000 7.9583
ATOMIC_POSITIONS crystal
Ce 0.0612 0.0612 0.2445
Ce 0.2290 0.2290 0.7629
Ce 0.7710 0.7710 0.2371
Ce 0.9388 0.9388 0.7555
Sn 0.5000 0.5000 0.5000
Au 0.0000 0.0000 0.5000
Au 0.1701 0.1701 0.0492
Au 0.3025 0.3025 0.5062
Au 0.4042 0.4042 0.1368
Au 0.5958 0.5958 0.8632
Au 0.6975 0.6975 0.4938
Au 0.8299 0.8299 0.9508
```

Results
For the total moment, the calculation gives 0.346 μB per atom. Its density is 11.3 g/cm3. For the formation energy from the elements, the calculation gives -0.515 eV per atom.

3.
DFT (PBE-GGA) results for a relaxed La4Te4H crystal. Values from VASP.

Quantum ESPRESSO input file:
```
&SYSTEM
  ibrav = 0, nat = 18, ntyp = 3
/
ATOMIC_SPECIES
La 138.91 La.upf
Te 127.60 Te.upf
H 1.01 H.upf
CELL_PARAMETERS angstrom
9.1600 0.0000 0.0000
0.0000 9.1600 0.0000
0.0000 0.0000 6.4937
ATOMIC_POSITIONS crystal
La 0.0224 0.7500 0.0343
La 0.2500 0.5224 0.4657
La 0.2500 0.9776 0.4657
La 0.4776 0.7500 0.0343
La 0.5224 0.2500 0.9657
La 0.7500 0.0224 0.5343
La 0.7500 0.4776 0.5343
La 0.9776 0.2500 0.9657
Te 0.0182 0.2500 0.4626
Te 0.2500 0.0182 0.9626
Te 0.2500 0.4818 0.9626
Te 0.4818 0.2500 0.4626
Te 0.5182 0.7500 0.5374
Te 0.7500 0.5182 0.0374
Te 0.7500 0.9818 0.0374
Te 0.9818 0.7500 0.5374
H 0.2500 0.7500 0.2500
H 0.7500 0.2500 0.7500
```

Results
The total energy comes out at -5.4108 eV per atom. For the total moment, the calculation gives 0.000 μB per atom. Its density is 6.5 g/cm3.